AsSe3 | GGA-PBE | optimized geometry

**Size of the total moment**: 0.000 μB/atom
**Formation energy without anion corrections**: 0.0708 eV per atom
**Calculated total energy**: -3.705 eV per atom
**Energy above the most stable polymorph in this dataset**: 0.000 eV/atom
**Space-group type**: Pnma (62)

a b c (Å): 7.096 10.278 7.598
angles (deg): 90.00 90.00 90.00
Positions (direct):
Se (0.229, 0.396, 0.058)
Se (0.271, 0.896, 0.442)
Se (0.241, 0.997, 0.750)
Se (0.759, 0.003, 0.250)
Se (0.229, 0.396, 0.442)
Se (0.259, 0.497, 0.750)
Se (0.729, 0.104, 0.558)
Se (0.271, 0.896, 0.058)
Se (0.729, 0.104, 0.942)
Se (0.771, 0.604, 0.942)
Se (0.771, 0.604, 0.558)
Se (0.741, 0.503, 0.250)
As (0.081, 0.556, 0.250)
As (0.919, 0.444, 0.750)
As (0.581, 0.944, 0.750)
As (0.419, 0.056, 0.250)